Computed, not measured: Hf2TiIn after structural relaxation at the PBE level of DFT.

Cell and atoms, written as extended XYZ:
```
8
Lattice="-2.063 2.063 10.453 2.063 -2.063 10.453 2.063 2.063 -10.453" Properties=species:S:1:pos:R:3 pbc="T T T"
Hf 3.094 1.016 -2.613
Hf 1.016 1.031 2.613
Hf -1.031 1.047 7.840
Hf 1.047 1.031 13.066
Ti 0.000 0.000 0.000
Ti 0.000 2.063 5.227
In 2.063 0.000 5.227
In 0.000 0.000 10.453
```

Values from the calculation:
calculated formation energy	0.40	eV per atom

Computed, not measured: Hf2TiIn after structural relaxation at the PBE level of DFT.

Cell and atoms, written as extended XYZ:
```
4
Lattice="2.741 -1.589 0.000 2.741 1.589 0.000 -1.788 0.000 9.799" Properties=species:S:1:pos:R:3 pbc="T T T"
Hf 0.000 0.000 0.000
Hf 0.000 0.000 4.634
Ti 3.644 0.000 2.329
In 1.848 0.000 7.221
```

Values from the calculation:
calculated formation energy	-0.02	eV per atom